VASP calculation (GGA+U) on a geometry-optimized Co9Cu3O16 structure.

Output
The value obtained for the calculated total energy is -5.817 eV per atom. For the calculated volume, the calculation gives 271 Å³ per cell. The total moment is 6.14 μB per formula unit. The calculation puts the theoretical density at 6.0 g/cm3.

a b c (Å): 10.0472 10.0472 10.0472
angles (deg): 33.24 33.24 33.24
Last column: magnetic moment on the atom in μB.
Positions (direct):
O 0.0830 0.5274 0.0830  0.04
O 0.5821 0.5821 0.0356  -0.02
O 0.5821 0.0356 0.5821  -0.02
O 0.0830 0.0830 0.5274  0.04
O 0.3052 0.3052 0.3052  0.02
O 0.0356 0.5821 0.5821  -0.02
O 0.5274 0.0830 0.0830  0.04
Co 0.4376 0.9386 0.9386  0.07
Co 0.4363 0.4363 0.9378  0.05
Co 0.9386 0.4376 0.9386  0.07
Co 0.0004 0.0004 0.0004  2.59
Co 0.9378 0.4363 0.4363  0.05
Co 0.1874 0.1874 0.1874  0.05
O 0.5691 0.5691 0.5691  0.05
Cu 0.3753 0.3753 0.3753  0.19
O 0.2910 0.8488 0.2910  0.06
O 0.8488 0.2910 0.2910  0.06
Cu 0.5000 0.5000 0.5000  0.45
Co 0.9386 0.9386 0.4376  0.07
Co 0.8749 0.8749 0.8749  2.64
Co 0.4363 0.9378 0.4363  0.05
O 0.2910 0.2910 0.8488  0.06
O 0.8061 0.8061 0.8061  0.03
O 0.7937 0.3376 0.7937  -0.05
O 0.7937 0.7937 0.3376  -0.05
O 0.0696 0.0696 0.0696  0.03
Cu 0.6878 0.6878 0.6878  -0.51
O 0.3376 0.7937 0.7937  -0.05